A plane-wave DFT calculation with GGA-PBE was carried out for a relaxed structure of Tc2AgOs.

abc: 4.8501 4.8501 4.8074
angles: 79.95 79.95 33.17
Closest atoms and distances in Å follow each position.
Positions (direct):
Os 0.7500 0.7500 0.7500  6 Tc 2.68-2.83, 2 Os 2.77, 4 Ag 2.77
Tc 0.4894 0.4894 0.5244  4 Tc 2.61-2.77, 3 Os 2.68-2.83, 3 Ag 2.79-2.89
Ag 0.2500 0.2500 0.2500  2 Ag 2.77, 4 Os 2.77, 6 Tc 2.79-2.89
Tc 0.0106 0.0106 0.9756  4 Tc 2.61-2.77, 3 Os 2.68-2.83, 3 Ag 2.79-2.89

Results
Its total energy is -33.05 eV per cell. For the formation energy, the calculation gives 0.441 eV per atom. The spin magnetization is 0.00 μB/f.u. Its energy above the most stable polymorph in this dataset is 177 meV/atom. As for the space-group type: C2/m, No. 12.

***

A plane-wave DFT calculation with GGA-PBE was carried out for a relaxed structure of CdSi2Ni.

abc: 3.8801 3.9987 4.8655
angles: 67.78 90.00 90.00
Closest atoms and distances in Å follow each position.
Positions (direct):
Ni 0.5000 0.7500 0.7500  4 Si 2.31, 2 Cd 2.50
Cd 0.5000 0.2500 0.2500  2 Ni 2.50
Si 0.0000 0.5889 0.5731  2 Ni 2.31, 1 Si 2.51
Si 0.0000 0.9111 0.9269  2 Ni 2.31, 1 Si 2.51

Results
Its total energy is -16.89 eV per cell. Its uncorrected formation energy is 0.164 eV/atom. The spin magnetization is 0.00 μB/f.u. As for the space-group type: P2/m, No. 10.

***

A plane-wave DFT calculation with GGA-PBE was carried out for a relaxed structure of ZrTe2WN.

abc: 5.4672 5.4672 3.7934
angles: 90.00 90.00 90.00
Closest atoms and distances in Å follow each position.
Positions (direct):
N 0.0000 0.0000 0.5000  2 W 1.90
Te 0.5000 0.0000 0.0000  2 W 2.73
W 0.0000 0.0000 0.0000  2 N 1.90
Zr 0.5000 0.5000 0.5000  8 Te 3.33
Te 0.0000 0.5000 0.0000  2 W 2.73

Results
Its total energy is -34.92 eV per cell. Its uncorrected formation energy is 0.239 eV/atom. The spin magnetization is 0.15 μB/f.u. Its energy above the most stable polymorph in this dataset is 0 meV/atom. As for the space-group type: P4/mmm, No. 123.

***

A plane-wave DFT calculation with GGA-PBE was carried out for a relaxed structure of BeAgAs2Ir.

abc: 4.4538 4.2472 4.4538
angles: 90.00 90.00 90.00
Closest atoms and distances in Å follow each position.
Positions (direct):
Ag 0.5000 0.5000 0.5000  8 As 3.08, 4 Ir 3.15
Be 0.0000 0.0000 0.0000  2 Ir 2.12, 4 As 2.23
As 0.0000 0.0000 0.5000  2 Be 2.23
As 0.5000 0.0000 0.0000  2 Be 2.23
Ir 0.0000 0.5000 0.0000  2 Be 2.12

Results
Its total energy is -22.10 eV per cell. For the formation energy, the calculation gives 0.528 eV per atom. The spin magnetization is 0.00 μB/f.u. As for the space-group type: P4/mmm, No. 123.

***

A plane-wave DFT calculation with GGA-PBE was carried out for a relaxed structure of Be2AgRu.

abc: 4.6319 4.6319 4.2581
angles: 74.93 74.93 33.07
Closest atoms and distances in Å follow each position.
Positions (direct):
Ru 0.5149 0.5149 0.4291  7 Be 2.43-2.56, 2 Ru 2.64
Ag 0.7358 0.7358 0.8138  7 Be 2.45-2.52, 2 Ag 2.64
Be 0.2650 0.2650 0.2989  3 Ru 2.43-2.51, 4 Be 2.47-2.64, 4 Ag 2.51-2.52
Be 0.9842 0.9842 0.9582  3 Ag 2.45-2.52, 4 Be 2.47-2.64, 4 Ru 2.48-2.56

Results
Its total energy is -19.21 eV per cell. For the formation energy, the calculation gives 0.091 eV per atom. The spin magnetization is 0.00 μB/f.u. As for the space-group type: Cm, No. 8.

***

A plane-wave DFT calculation with GGA-PBE was carried out for a relaxed structure of Nd3Sm2Dy6Tl.

abc: 6.1623 6.1623 11.7935
angles: 95.02 95.02 120.03
Closest atoms and distances in Å follow each position.
Positions (direct):
Dy 0.2461 0.2461 0.7533  6 Dy 3.50-3.59, 1 Tl 3.51, 2 Sm 3.53, 3 Nd 3.58-3.61
Dy 0.7539 0.7539 0.2467  6 Dy 3.50-3.59, 1 Tl 3.51, 2 Sm 3.53, 3 Nd 3.58-3.61
Dy 0.4088 0.0813 0.2455  1 Tl 3.49, 6 Dy 3.50-3.59, 2 Sm 3.52-3.53, 3 Nd 3.59-3.61
Tl 0.0000 0.0000 0.0000  6 Dy 3.49-3.51, 6 Sm 3.55-3.56
Nd 0.5000 0.5000 0.5000  6 Nd 3.55-3.56, 6 Dy 3.59-3.61
Nd 0.1675 0.8325 0.5000  6 Nd 3.55-3.58, 6 Dy 3.58-3.61
Sm 0.3337 0.6663 0.0000  6 Dy 3.52-3.53, 3 Sm 3.55-3.56, 3 Tl 3.55-3.56
Dy 0.5912 0.9187 0.7545  1 Tl 3.49, 6 Dy 3.50-3.59, 2 Sm 3.52-3.53, 3 Nd 3.59-3.61
Nd 0.8325 0.1675 0.5000  6 Nd 3.55-3.58, 6 Dy 3.58-3.61
Dy 0.0813 0.4088 0.2455  1 Tl 3.49, 6 Dy 3.50-3.59, 2 Sm 3.52-3.53, 3 Nd 3.59-3.61
Sm 0.6663 0.3337 0.0000  6 Dy 3.52-3.53, 3 Sm 3.55-3.56, 3 Tl 3.55-3.56
Dy 0.9187 0.5912 0.7545  1 Tl 3.49, 6 Dy 3.50-3.59, 2 Sm 3.52-3.53, 3 Nd 3.59-3.61

Results
Its total energy is -53.99 eV per cell. For the formation energy, the calculation gives -0.023 eV per atom. The spin magnetization is 0.00 μB/f.u. As for the space-group type: C2/m, No. 12.